[1]
## Ga3CoRh2 (GGA-PBE)

Data for an optimized crystal structure of Ga3CoRh2.

a = 3.0016 Å, b = 3.0016 Å, c = 8.8839 Å
α = 90.00°, β = 90.00°, γ = 90.00°
Closest atoms and distances in Å follow each position.
Sites, in units of the cell vectors:
1 Co 0.5000 0.5000 0.5000  8 Ga 2.52
2 Rh 0.5000 0.5000 0.8281  8 Ga 2.61-2.63, 1 Co 2.92
3 Ga 0.0000 0.0000 0.0000  8 Rh 2.61
4 Rh 0.5000 0.5000 0.1719  8 Ga 2.61-2.63, 1 Co 2.92
5 Ga 0.0000 0.0000 0.6533  4 Co 2.52, 4 Rh 2.63, 1 Ga 2.72
6 Ga 0.0000 0.0000 0.3467  4 Co 2.52, 4 Rh 2.63, 1 Ga 2.72

Calculated values
**ΔH_f (0 K)**: -543 meV/atom
**Size of the total moment**: 0.428 Bohr magnetons per cell
**Symmetry**: P4/mmm
**Theoretical density**: 9.83 g cm⁻³
**Uncorrected energy**: -5.692 eV/atom

---

[2]
## SmDy2CdHg4 (GGA-PBE)

Data for an optimized crystal structure of SmDy2CdHg4.

a = 5.1543 Å, b = 5.1543 Å, c = 9.2874 Å
α = 73.89°, β = 73.89°, γ = 60.00°
Closest atoms and distances in Å follow each position.
Sites, in units of the cell vectors:
1 Hg 0.8769 0.8769 0.3693  4 Dy 3.09-3.12, 3 Cd 3.19, 1 Sm 3.25
2 Hg 0.1231 0.1231 0.6307  4 Dy 3.09-3.12, 3 Cd 3.19, 1 Sm 3.25
3 Dy 0.2414 0.2414 0.2759  8 Hg 3.09-3.45
4 Dy 0.7586 0.7586 0.7241  8 Hg 3.09-3.45
5 Hg 0.3720 0.3720 0.8839  3 Sm 3.15, 4 Dy 3.29-3.45, 1 Cd 3.38
6 Cd 0.5000 0.5000 0.5000  8 Hg 3.19-3.38, 6 Dy 3.57
7 Sm 0.0000 0.0000 0.0000  8 Hg 3.15-3.25
8 Hg 0.6280 0.6280 0.1161  3 Sm 3.15, 4 Dy 3.29-3.45, 1 Cd 3.38

Calculated values
**ΔH_f (0 K)**: -418 meV/atom
**Size of the total moment**: 0.000 Bohr magnetons per cell
**Symmetry**: R-3m
**Theoretical density**: 11.40 g cm⁻³
**Uncorrected energy**: -2.424 eV/atom

---

[3]
## ScBeCoB2 (GGA-PBE)

Data for an optimized crystal structure of ScBeCoB2.

a = 3.3401 Å, b = 3.3401 Å, c = 4.9434 Å
α = 109.75°, β = 109.75°, γ = 90.00°
Closest atoms and distances in Å follow each position.
Sites, in units of the cell vectors:
1 Sc 0.0000 0.0000 0.0000  8 B 2.53, 4 Co 2.74, 4 Be 2.74
2 Be 0.7500 0.2500 0.5000  4 B 2.09
3 Co 0.2500 0.7500 0.5000  4 B 2.09
4 B 0.3951 0.3951 0.7902  1 B 1.82
5 B 0.6049 0.6049 0.2098  1 B 1.82

Calculated values
**ΔH_f (0 K)**: -500 meV/atom
**Size of the total moment**: 0.000 Bohr magnetons per cell
**Symmetry**: I-4m2
**Theoretical density**: 4.61 g cm⁻³
**Uncorrected energy**: -6.603 eV/atom

---

Copy entry 1 word for word.
## Ga3CoRh2 (GGA-PBE)

Data for an optimized crystal structure of Ga3CoRh2.

a = 3.0016 Å, b = 3.0016 Å, c = 8.8839 Å
α = 90.00°, β = 90.00°, γ = 90.00°
Closest atoms and distances in Å follow each position.
Sites, in units of the cell vectors:
1 Co 0.5000 0.5000 0.5000  8 Ga 2.52
2 Rh 0.5000 0.5000 0.8281  8 Ga 2.61-2.63, 1 Co 2.92
3 Ga 0.0000 0.0000 0.0000  8 Rh 2.61
4 Rh 0.5000 0.5000 0.1719  8 Ga 2.61-2.63, 1 Co 2.92
5 Ga 0.0000 0.0000 0.6533  4 Co 2.52, 4 Rh 2.63, 1 Ga 2.72
6 Ga 0.0000 0.0000 0.3467  4 Co 2.52, 4 Rh 2.63, 1 Ga 2.72

Calculated values
**ΔH_f (0 K)**: -543 meV/atom
**Size of the total moment**: 0.428 Bohr magnetons per cell
**Symmetry**: P4/mmm
**Theoretical density**: 9.83 g cm⁻³
**Uncorrected energy**: -5.692 eV/atom

---

Q: Which value of uncorrected energy does entry 2 give?
A: -2.424 eV/atom

---

Q: The highest size of the total moment belongs to which entry?
A: Ga3CoRh2